[1]
# GGA-PBE LiCu2, relaxed
# Formation energy from the elements ... -0.065 eV/atom
# E ... -41.2 eV/cell
data_LiCu2
_cell_length_a 4.8757
_cell_length_b 4.8757
_cell_length_c 8.0376
_cell_angle_alpha 90.00
_cell_angle_beta 90.00
_cell_angle_gamma 120.00
_symmetry_space_group_name_H-M 'P 63/m m c'
_symmetry_Int_Tables_number 194
_symmetry_space_group_name_Hall '-P 6c 2c'
loop_
_atom_site_label
_atom_site_type_symbol
_atom_site_fract_x
_atom_site_fract_y
_atom_site_fract_z
Li1 Li 0.3333 0.6667 0.0611
Cu1 Cu 0.0000 0.0000 0.0000
Cu2 Cu 0.1687 0.3373 0.7500

=====

[2]
# GGA-PBE BaCo2Cu2, relaxed
# Formation energy from the elements ... 0.417 eV/atom
# E ... -44.5 eV/cell
data_BaCo2Cu2
_cell_length_a 4.3075
_cell_length_b 4.3075
_cell_length_c 9.8697
_cell_angle_alpha 90.00
_cell_angle_beta 90.00
_cell_angle_gamma 90.00
_symmetry_space_group_name_H-M 'I 4/m m m'
_symmetry_Int_Tables_number 139
_symmetry_space_group_name_Hall '-I 4 2'
loop_
_atom_site_label
_atom_site_type_symbol
_atom_site_fract_x
_atom_site_fract_y
_atom_site_fract_z
Ba1 Ba 0.0000 0.0000 0.0000
Co1 Co 0.0000 0.0000 0.3857
Cu1 Cu 0.0000 0.5000 0.2500

=====

[3]
# GGA-PBE NaAlAg2, relaxed
# Formation energy from the elements ... 0.006 eV/atom
# E ... -10.7 eV/cell
data_NaAlAg2
_cell_length_a 4.9914
_cell_length_b 4.9914
_cell_length_c 2.9361
_cell_angle_alpha 90.00
_cell_angle_beta 90.00
_cell_angle_gamma 90.00
_symmetry_space_group_name_H-M 'P 4/m m m'
_symmetry_Int_Tables_number 123
_symmetry_space_group_name_Hall '-P 4 2'
loop_
_atom_site_label
_atom_site_type_symbol
_atom_site_fract_x
_atom_site_fract_y
_atom_site_fract_z
Na1 Na 0.0000 0.0000 0.0000
Al1 Al 0.5000 0.5000 0.0000
Ag1 Ag 0.0000 0.5000 0.5000

=====

[4]
# GGA-PBE BaHfSe4, relaxed
# Excess energy over the best structure of this formula in the dataset ... 0 meV/atom
# E ... -131.3 eV/cell
# Formation energy (no corrections) ... -1167 meV/atom
data_BaHfSe4
_cell_length_a 10.0762
_cell_length_b 12.1825
_cell_length_c 6.9140
_cell_angle_alpha 90.00
_cell_angle_beta 124.51
_cell_angle_gamma 90.00
_symmetry_space_group_name_H-M 'C 1 2/c 1'
_symmetry_Int_Tables_number 15
loop_
_symmetry_equiv_pos_as_xyz
'x,y,z'
'-x,-y,-z'
'-x,y,-z+1/2'
'x,-y,z+1/2'
'x+1/2,y+1/2,z'
'-x+1/2,-y+1/2,-z'
'-x+1/2,y+1/2,-z+1/2'
'x+1/2,-y+1/2,z+1/2'
loop_
_atom_site_label
_atom_site_type_symbol
_atom_site_fract_x
_atom_site_fract_y
_atom_site_fract_z
Ba1 Ba 0.0000 0.1354 0.2500
Hf1 Hf 0.0000 0.4971 0.2500
Se1 Se 0.1306 0.3444 0.6204
Se2 Se 0.2481 0.4360 0.1987

=====

[5]
# GGA-PBE Ag2RhBr6, relaxed
# Excess energy over the best structure of this formula in the dataset ... 6 meV/atom
# E ... -51.7 eV/cell
# Formation energy (no corrections) ... -307 meV/atom
data_Ag2RhBr6
_cell_length_a 6.7798
_cell_length_b 6.9290
_cell_length_c 12.4109
_cell_angle_alpha 90.00
_cell_angle_beta 119.36
_cell_angle_gamma 90.00
_symmetry_space_group_name_H-M 'P 1 21/c 1'
_symmetry_Int_Tables_number 14
loop_
_symmetry_equiv_pos_as_xyz
'x,y,z'
'-x,-y,-z'
'-x,y+1/2,-z+1/2'
'x,-y+1/2,z+1/2'
loop_
_atom_site_label
_atom_site_type_symbol
_atom_site_fract_x
_atom_site_fract_y
_atom_site_fract_z
Ag1 Ag 0.1709 0.1386 0.1680
Rh1 Rh 0.5000 0.0000 0.0000
Br1 Br 0.1518 0.0458 0.7928
Br2 Br 0.2675 0.6825 0.5726
Br3 Br 0.4125 0.1934 0.5757

=====

[6]
# GGA-PBE NaNiB, relaxed
# Formation energy from the elements ... 0.145 eV/atom
# E ... -13.3 eV/cell
data_NaNiB
_cell_length_a 2.4546
_cell_length_b 3.2230
_cell_length_c 5.0102
_cell_angle_alpha 90.00
_cell_angle_beta 90.00
_cell_angle_gamma 90.00
_symmetry_space_group_name_H-M 'P m m m'
_symmetry_Int_Tables_number 47
loop_
_symmetry_equiv_pos_as_xyz
'x,y,z'
'-x,-y,-z'
'-x,-y,z'
'x,y,-z'
'x,-y,-z'
'-x,y,z'
'-x,y,-z'
'x,-y,z'
loop_
_atom_site_label
_atom_site_type_symbol
_atom_site_fract_x
_atom_site_fract_y
_atom_site_fract_z
Na1 Na 0.0000 0.0000 0.0000
Ni1 Ni 0.0000 0.5000 0.5000
B1 B 0.5000 0.0000 0.5000